<one>
Entry from Alexandria: crystalline TiGe2I at its relaxed geometry (PBE).

Results
V (Å³ per cell): 86

Unit cell a=4.9560 b=4.9560 c=4.9560 alpha=60.00 beta=60.00 gamma=60.00
With the nearest neighbours (Å) after each atom.
Element x y z (fractional)
1 Ti 0.0000 0.0000 0.0000  8 Ge 3.03
2 Ge 0.2500 0.2500 0.2500  4 I 3.03, 4 Ti 3.03
3 Ge 0.7500 0.7500 0.7500  4 I 3.03, 4 Ti 3.03
4 I 0.5000 0.5000 0.5000  8 Ge 3.03

=====

<two>
Entry from Alexandria: crystalline TiGe2I at its relaxed geometry (PBE).

Results
V (Å³ per cell): 221

Unit cell a=9.7019 b=9.7019 c=9.7019 alpha=150.49 beta=150.49 gamma=42.22
With the nearest neighbours (Å) after each atom.
Element x y z (fractional)
1 Ti 0.0000 0.0000 0.0000  4 Ge 2.59
2 Ti 0.7500 0.2500 0.5000  4 Ge 2.59
3 Ge 0.3750 0.1742 0.2992  2 Ge 2.52, 2 Ti 2.59
4 Ge 0.8258 0.1250 0.2008  2 Ge 2.52, 2 Ti 2.59
5 Ge 0.8750 0.0758 0.7008  2 Ge 2.52, 2 Ti 2.59
6 Ge 0.9242 0.6250 0.7992  2 Ge 2.52, 2 Ti 2.59
7 I 0.2500 0.7500 0.5000  8 Ge 3.41-3.74, 4 Ti 3.49
8 I 0.5000 0.5000 0.0000  8 Ge 3.41-3.74, 4 Ti 3.49

=====

The structure with the greatest stability is <two>.

=====

<one>
Entry from Alexandria: crystalline TlGe2I at its relaxed geometry (PBE).

Results
V (Å³ per cell): 106

Unit cell a=5.3040 b=5.3040 c=5.3040 alpha=60.00 beta=60.00 gamma=60.00
With the nearest neighbours (Å) after each atom.
Element x y z (fractional)
1 Tl 0.0000 0.0000 0.0000  8 Ge 3.25
2 Ge 0.2500 0.2500 0.2500  4 Tl 3.25, 4 I 3.25
3 Ge 0.7500 0.7500 0.7500  4 Tl 3.25, 4 I 3.25
4 I 0.5000 0.5000 0.5000  8 Ge 3.25

=====

<two>
Entry from Alexandria: crystalline TlGe2I at its relaxed geometry (PBE).

Results
V (Å³ per cell): 293

Unit cell a=8.7871 b=8.7871 c=8.7871 alpha=138.67 beta=138.67 gamma=59.87
With the nearest neighbours (Å) after each atom.
Element x y z (fractional)
1 Tl 0.0000 0.0000 0.0000  4 Ge 2.81
2 Tl 0.7500 0.2500 0.5000  4 Ge 2.81
3 Ge 0.0940 0.6250 0.9690  2 Tl 2.81, 2 I 3.01
4 Ge 0.3750 0.3440 0.4690  2 Tl 2.81, 2 I 3.01
5 Ge 0.6560 0.1250 0.0310  2 Tl 2.81, 2 I 3.01
6 Ge 0.8750 0.9060 0.5310  2 Tl 2.81, 2 I 3.01
7 I 0.2500 0.7500 0.5000  4 Ge 3.01
8 I 0.5000 0.5000 0.0000  4 Ge 3.01

=====

The structure with the greatest stability is <one>.

=====

<one>
Entry from Alexandria: crystalline V3GeI at its relaxed geometry (PBE).

Results
V (Å³ per cell): 117

Unit cell a=4.8882 b=4.8882 c=4.8882 alpha=90.00 beta=90.00 gamma=90.00
With the nearest neighbours (Å) after each atom.
Element x y z (fractional)
1 V 0.0000 0.0000 0.5000  2 Ge 2.44
2 V 0.0000 0.5000 0.0000  2 Ge 2.44
3 V 0.5000 0.0000 0.0000  2 Ge 2.44
4 Ge 0.0000 0.0000 0.0000  6 V 2.44
5 I 0.5000 0.5000 0.5000  12 V 3.46

=====

<two>
Entry from Alexandria: crystalline V3GeI at its relaxed geometry (PBE).

Results
V (Å³ per cell): 107

Unit cell a=4.7415 b=4.7415 c=4.7415 alpha=90.00 beta=90.00 gamma=90.00
With the nearest neighbours (Å) after each atom.
Element x y z (fractional)
1 V 0.0000 0.0000 0.5000  2 I 2.37
2 V 0.0000 0.5000 0.0000  2 I 2.37
3 V 0.5000 0.0000 0.0000  2 I 2.37
4 Ge 0.5000 0.5000 0.5000  12 V 3.35
5 I 0.0000 0.0000 0.0000  6 V 2.37

=====

The structure with the greatest stability is <one>.

=====

<one>
Entry from Alexandria: crystalline VGeI3 at its relaxed geometry (PBE).

Results
V (Å³ per cell): 169

Unit cell a=5.5258 b=5.5258 c=5.5258 alpha=90.00 beta=90.00 gamma=90.00
With the nearest neighbours (Å) after each atom.
Element x y z (fractional)
1 V 0.0000 0.0000 0.0000  6 I 2.76
2 Ge 0.5000 0.5000 0.5000  12 I 3.91
3 I 0.0000 0.0000 0.5000  2 V 2.76
4 I 0.0000 0.5000 0.0000  2 V 2.76
5 I 0.5000 0.0000 0.0000  2 V 2.76

=====

<two>
Entry from Alexandria: crystalline VGeI3 at its relaxed geometry (PBE).

Results
V (Å³ per cell): 193

Unit cell a=5.7755 b=5.7755 c=5.7755 alpha=90.00 beta=90.00 gamma=90.00
With the nearest neighbours (Å) after each atom.
Element x y z (fractional)
1 V 0.0000 0.0000 0.0000  12 I 4.08
2 Ge 0.5000 0.5000 0.5000  6 I 2.89
3 I 0.0000 0.5000 0.5000  2 Ge 2.89
4 I 0.5000 0.0000 0.5000  2 Ge 2.89
5 I 0.5000 0.5000 0.0000  2 Ge 2.89

=====

The structure with the greatest stability is <one>.

=====

<one>
Entry from Alexandria: crystalline VGe2I at its relaxed geometry (PBE).

Results
V (Å³ per cell): 90

Unit cell a=8.9971 b=8.9971 c=8.9971 alpha=22.03 beta=22.03 gamma=22.03
With the nearest neighbours (Å) after each atom.
Element x y z (fractional)
1 V 0.0000 0.0000 0.0000  6 Ge 2.53
2 Ge 0.3931 0.3931 0.3931  3 V 2.53, 1 I 2.81
3 Ge 0.6069 0.6069 0.6069  3 V 2.53, 1 I 2.81
4 I 0.5000 0.5000 0.5000  2 Ge 2.81

=====

<two>
Entry from Alexandria: crystalline VGe2I at its relaxed geometry (PBE).

Results
V (Å³ per cell): 87

Unit cell a=4.9786 b=4.9786 c=4.9786 alpha=60.00 beta=60.00 gamma=60.00
With the nearest neighbours (Å) after each atom.
Element x y z (fractional)
1 V 0.0000 0.0000 0.0000  8 Ge 3.05
2 Ge 0.2500 0.2500 0.2500  4 I 3.05, 4 V 3.05
3 Ge 0.7500 0.7500 0.7500  4 V 3.05, 4 I 3.05
4 I 0.5000 0.5000 0.5000  8 Ge 3.05

=====

<three>
Entry from Alexandria: crystalline VGe2I at its relaxed geometry (PBE).

Results
V (Å³ per cell): 211

Unit cell a=9.3003 b=9.3003 c=9.3003 alpha=149.16 beta=149.16 gamma=44.17
With the nearest neighbours (Å) after each atom.
Element x y z (fractional)
1 V 0.0000 0.0000 0.0000  4 Ge 2.51
2 V 0.7500 0.2500 0.5000  4 Ge 2.51
3 Ge 0.3750 0.1971 0.3221  2 V 2.51, 2 Ge 2.57
4 Ge 0.8029 0.1250 0.1779  2 V 2.51, 2 Ge 2.57
5 Ge 0.8750 0.0529 0.6779  2 V 2.51, 2 Ge 2.57
6 Ge 0.9471 0.6250 0.8221  2 V 2.51, 2 Ge 2.57
7 I 0.2500 0.7500 0.5000  4 Ge 3.26, 4 V 3.50
8 I 0.5000 0.5000 0.0000  4 Ge 3.26, 4 V 3.50

=====

The structure with the greatest stability is <one>.

=====

<one>
Entry from Alexandria: crystalline GeWI3 at its relaxed geometry (PBE).

Results
V (Å³ per cell): 190

Unit cell a=5.7473 b=5.7473 c=5.7473 alpha=90.00 beta=90.00 gamma=90.00
With the nearest neighbours (Å) after each atom.
Element x y z (fractional)
1 Ge 0.0000 0.0000 0.0000  6 I 2.87
2 W 0.5000 0.5000 0.5000  12 I 4.06
3 I 0.0000 0.0000 0.5000  2 Ge 2.87
4 I 0.0000 0.5000 0.0000  2 Ge 2.87
5 I 0.5000 0.0000 0.0000  2 Ge 2.87

=====

<two>
Entry from Alexandria: crystalline GeWI3 at its relaxed geometry (PBE).

Results
V (Å³ per cell): 172

Unit cell a=5.5582 b=5.5582 c=5.5582 alpha=90.00 beta=90.00 gamma=90.00
With the nearest neighbours (Å) after each atom.
Element x y z (fractional)
1 Ge 0.0000 0.0000 0.0000  12 I 3.93
2 W 0.5000 0.5000 0.5000  6 I 2.78
3 I 0.0000 0.5000 0.5000  2 W 2.78
4 I 0.5000 0.0000 0.5000  2 W 2.78
5 I 0.5000 0.5000 0.0000  2 W 2.78

=====

The structure with the greatest stability is <two>.

=====

<one>
Entry from Alexandria: crystalline YGe2I at its relaxed geometry (PBE).

Results
V (Å³ per cell): 224

Unit cell a=12.0930 b=12.0930 c=12.0930 alpha=159.13 beta=159.13 gamma=29.68
With the nearest neighbours (Å) after each atom.
Element x y z (fractional)
1 Y 0.0000 0.0000 0.0000  4 I 3.10, 4 Ge 3.18
2 Y 0.7500 0.2500 0.5000  4 I 3.10, 4 Ge 3.18
3 Ge 0.0173 0.6250 0.8923  2 Ge 2.52
4 Ge 0.3750 0.2673 0.3923  2 Ge 2.52
5 Ge 0.7327 0.1250 0.1077  2 Ge 2.52
6 Ge 0.8750 0.9827 0.6077  2 Ge 2.52
7 I 0.2500 0.7500 0.5000  4 Y 3.10
8 I 0.5000 0.5000 0.0000  4 Y 3.10

=====

<two>
Entry from Alexandria: crystalline YGe2I at its relaxed geometry (PBE).

Results
V (Å³ per cell): 102

Unit cell a=5.2415 b=5.2415 c=5.2415 alpha=60.00 beta=60.00 gamma=60.00
With the nearest neighbours (Å) after each atom.
Element x y z (fractional)
1 Y 0.0000 0.0000 0.0000  8 Ge 3.21
2 Ge 0.2500 0.2500 0.2500  4 I 3.21, 4 Y 3.21
3 Ge 0.7500 0.7500 0.7500  4 I 3.21, 4 Y 3.21
4 I 0.5000 0.5000 0.5000  8 Ge 3.21

=====

The structure with the greatest stability is <one>.

=====

<one>
Entry from Alexandria: crystalline YGeI2 at its relaxed geometry (PBE).

Results
V (Å³ per cell): 138

Unit cell a=10.6436 b=10.6436 c=10.6436 alpha=21.17 beta=21.17 gamma=21.17
With the nearest neighbours (Å) after each atom.
Element x y z (fractional)
1 Y 0.0000 0.0000 0.0000  2 I 3.00
2 Ge 0.5000 0.5000 0.5000  6 I 3.15
3 I 0.0961 0.0961 0.0961  1 Y 3.00, 3 Ge 3.15
4 I 0.9039 0.9039 0.9039  1 Y 3.00, 3 Ge 3.15

=====

<two>
Entry from Alexandria: crystalline YGeI2 at its relaxed geometry (PBE).

Results
V (Å³ per cell): 112

Unit cell a=5.4125 b=5.4125 c=5.4125 alpha=60.00 beta=60.00 gamma=60.00
With the nearest neighbours (Å) after each atom.
Element x y z (fractional)
1 Y 0.0000 0.0000 0.0000  8 I 3.31
2 Ge 0.5000 0.5000 0.5000  8 I 3.31
3 I 0.2500 0.2500 0.2500  4 Ge 3.31, 4 Y 3.31
4 I 0.7500 0.7500 0.7500  4 Ge 3.31, 4 Y 3.31

=====

The structure with the greatest stability is <two>.

=====

<one>
Entry from Alexandria: crystalline ZnGe3I at its relaxed geometry (PBE).

Results
V (Å³ per cell): 167

Unit cell a=5.5080 b=5.5080 c=5.5080 alpha=90.00 beta=90.00 gamma=90.00
With the nearest neighbours (Å) after each atom.
Element x y z (fractional)
1 Zn 0.0000 0.0000 0.0000  12 Ge 3.89
2 Ge 0.0000 0.5000 0.5000  2 I 2.75
3 Ge 0.5000 0.0000 0.5000  2 I 2.75
4 Ge 0.5000 0.5000 0.0000  2 I 2.75
5 I 0.5000 0.5000 0.5000  6 Ge 2.75

=====

<two>
Entry from Alexandria: crystalline ZnGe3I at its relaxed geometry (PBE).

Results
V (Å³ per cell): 126

Unit cell a=5.0124 b=5.0124 c=5.0124 alpha=90.00 beta=90.00 gamma=90.00
With the nearest neighbours (Å) after each atom.
Element x y z (fractional)
1 Zn 0.0000 0.0000 0.0000  6 Ge 2.51
2 Ge 0.0000 0.0000 0.5000  2 Zn 2.51
3 Ge 0.0000 0.5000 0.0000  2 Zn 2.51
4 Ge 0.5000 0.0000 0.0000  2 Zn 2.51
5 I 0.5000 0.5000 0.5000  12 Ge 3.54

=====

The structure with the greatest stability is <two>.

=====

<one>
Entry from Alexandria: crystalline ZnGe2I at its relaxed geometry (PBE).

Results
V (Å³ per cell): 242

Unit cell a=7.7170 b=7.7170 c=7.7170 alpha=132.85 beta=132.85 gamma=68.89
With the nearest neighbours (Å) after each atom.
Element x y z (fractional)
1 Zn 0.0000 0.0000 0.0000  4 Ge 2.44
2 Zn 0.7500 0.2500 0.5000  4 Ge 2.44
3 Ge 0.0419 0.6250 0.9169  2 Zn 2.44
4 Ge 0.3750 0.2919 0.4169  2 Zn 2.44
5 Ge 0.7081 0.1250 0.0831  2 Zn 2.44
6 Ge 0.8750 0.9581 0.5831  2 Zn 2.44
7 I 0.2500 0.7500 0.5000  4 Ge 3.02
8 I 0.5000 0.5000 0.0000  4 Ge 3.02

=====

<two>
Entry from Alexandria: crystalline ZnGe2I at its relaxed geometry (PBE).

Results
V (Å³ per cell): 92

Unit cell a=5.0628 b=5.0628 c=5.0628 alpha=60.00 beta=60.00 gamma=60.00
With the nearest neighbours (Å) after each atom.
Element x y z (fractional)
1 Zn 0.0000 0.0000 0.0000  8 Ge 3.10
2 Ge 0.2500 0.2500 0.2500  4 I 3.10, 4 Zn 3.10
3 Ge 0.7500 0.7500 0.7500  4 I 3.10, 4 Zn 3.10
4 I 0.5000 0.5000 0.5000  8 Ge 3.10

=====

The structure with the greatest stability is <one>.

=====

<one>
Entry from Alexandria: crystalline InGeIr2 at its relaxed geometry (PBE).

Results
V (Å³ per cell): 64

Unit cell a=2.9986 b=2.9986 c=7.1336 alpha=90.00 beta=90.00 gamma=90.00
With the nearest neighbours (Å) after each atom.
Element x y z (fractional)
1 In 0.0000 0.0000 0.0000  8 Ir 2.93, 4 In 3.00
2 Ge 0.0000 0.0000 0.5000  8 Ir 2.62
3 Ir 0.5000 0.5000 0.2831  4 Ge 2.62, 4 In 2.93
4 Ir 0.5000 0.5000 0.7169  4 Ge 2.62, 4 In 2.93

=====

<two>
Entry from Alexandria: crystalline InGeIr2 at its relaxed geometry (PBE).

Results
V (Å³ per cell): 65

Unit cell a=4.5162 b=4.5162 c=4.5162 alpha=60.00 beta=60.00 gamma=60.00
With the nearest neighbours (Å) after each atom.
Element x y z (fractional)
1 In 0.0000 0.0000 0.0000  8 Ir 2.77
2 Ge 0.5000 0.5000 0.5000  8 Ir 2.77
3 Ir 0.2500 0.2500 0.2500  4 Ge 2.77, 4 In 2.77
4 Ir 0.7500 0.7500 0.7500  4 Ge 2.77, 4 In 2.77

=====

<three>
Entry from Alexandria: crystalline InGeIr2 at its relaxed geometry (PBE).

Results
V (Å³ per cell): 71

Unit cell a=5.6203 b=5.6203 c=5.6203 alpha=41.78 beta=41.78 gamma=41.78
With the nearest neighbours (Å) after each atom.
Element x y z (fractional)
1 In 0.0000 0.0000 0.0000  6 Ir 2.75-2.82, 1 Ge 2.77
2 Ge 0.8199 0.8199 0.8199  6 Ir 2.47-2.59, 1 In 2.77
3 Ir 0.2284 0.2284 0.2284  3 Ge 2.59, 3 In 2.82
4 Ir 0.4295 0.4295 0.4295  3 Ge 2.47, 3 In 2.75

=====

<four>
Entry from Alexandria: crystalline InGeIr2 at its relaxed geometry (PBE).

Results
V (Å³ per cell): 69

Unit cell a=5.1109 b=5.1109 c=5.1109 alpha=48.71 beta=48.71 gamma=48.71
With the nearest neighbours (Å) after each atom.
Element x y z (fractional)
1 In 0.0000 0.0000 0.0000  8 Ir 2.86-2.99
2 Ge 0.5000 0.5000 0.5000  6 Ir 2.54
3 Ir 0.2216 0.2216 0.2216  3 Ge 2.54, 3 Ir 2.85
4 Ir 0.7784 0.7784 0.7784  3 Ge 2.54, 3 Ir 2.85

=====

The structure with the greatest stability is <one>.

=====

<one>
Entry from Alexandria: crystalline InGeIr3 at its relaxed geometry (PBE).

Results
V (Å³ per cell): 116

Unit cell a=4.8834 b=4.8834 c=4.8834 alpha=90.00 beta=90.00 gamma=90.00
With the nearest neighbours (Å) after each atom.
Element x y z (fractional)
1 In 0.0000 0.0000 0.0000  6 Ir 2.44
2 Ge 0.5000 0.5000 0.5000  12 Ir 3.45
3 Ir 0.0000 0.0000 0.5000  2 In 2.44
4 Ir 0.0000 0.5000 0.0000  2 In 2.44
5 Ir 0.5000 0.0000 0.0000  2 In 2.44

=====

<two>
Entry from Alexandria: crystalline InGeIr3 at its relaxed geometry (PBE).

Results
V (Å³ per cell): 96

Unit cell a=4.5741 b=4.5741 c=4.5741 alpha=90.00 beta=90.00 gamma=90.00
With the nearest neighbours (Å) after each atom.
Element x y z (fractional)
1 In 0.0000 0.0000 0.0000  12 Ir 3.23
2 Ge 0.5000 0.5000 0.5000  6 Ir 2.29
3 Ir 0.0000 0.5000 0.5000  2 Ge 2.29
4 Ir 0.5000 0.0000 0.5000  2 Ge 2.29
5 Ir 0.5000 0.5000 0.0000  2 Ge 2.29

=====

The structure with the greatest stability is <two>.